1.
! PBE HoPbAu, relaxed; values from VASP
&SYSTEM
  ibrav = 0, nat = 12, ntyp = 3
/
ATOMIC_SPECIES
Ho 164.93 Ho.upf
Pb 207.20 Pb.upf
Au 196.97 Au.upf
CELL_PARAMETERS angstrom
6.818 0.000 0.000
0.000 6.818 0.000
0.000 0.000 6.818
ATOMIC_POSITIONS crystal
Ho 0.000 0.000 0.000
Ho 0.000 0.500 0.500
Ho 0.500 0.000 0.500
Ho 0.500 0.500 0.000
Pb 0.000 0.000 0.500
Pb 0.000 0.500 0.000
Pb 0.500 0.000 0.000
Pb 0.500 0.500 0.500
Au 0.250 0.250 0.750
Au 0.250 0.750 0.250
Au 0.750 0.250 0.250
Au 0.750 0.750 0.750
! total moment = 0.00 μB/f.u.
! calculated volume = 26.413 Å³ per atom
! space-group type = F-43m (216)
! E_form = -15.35 kcal/mol of atoms

---

2.
! PBE Ho5PbAu4, relaxed; values from VASP
&SYSTEM
  ibrav = 0, nat = 10, ntyp = 3
/
ATOMIC_SPECIES
Ho 164.93 Ho.upf
Pb 207.20 Pb.upf
Au 196.97 Au.upf
CELL_PARAMETERS angstrom
3.541 0.000 0.000
0.000 3.541 0.000
0.000 0.000 19.173
ATOMIC_POSITIONS crystal
Ho 0.000 0.000 0.000
Ho 0.000 0.000 0.190
Ho 0.000 0.000 0.380
Ho 0.000 0.000 0.620
Ho 0.000 0.000 0.810
Pb 0.500 0.500 0.500
Au 0.500 0.500 0.096
Au 0.500 0.500 0.286
Au 0.500 0.500 0.714
Au 0.500 0.500 0.904
! total moment = 0.00 μB/f.u.
! calculated volume = 24.035 Å³ per atom
! space-group type = P4/mmm (123)
! E_form = -17.99 kcal/mol of atoms

---

3.
! PBE Ho5PbAu2, relaxed; values from VASP
&SYSTEM
  ibrav = 0, nat = 16, ntyp = 3
/
ATOMIC_SPECIES
Ho 164.93 Ho.upf
Pb 207.20 Pb.upf
Au 196.97 Au.upf
CELL_PARAMETERS angstrom
-4.027 4.027 6.591
4.027 -4.027 6.591
4.027 4.027 -6.591
ATOMIC_POSITIONS crystal
Ho 0.000 0.000 0.000
Ho 0.014 0.514 0.812
Ho 0.202 0.014 0.500
Ho 0.298 0.798 0.812
Ho 0.486 0.298 0.500
Ho 0.500 0.500 0.000
Ho 0.514 0.702 0.500
Ho 0.702 0.202 0.188
Ho 0.798 0.986 0.500
Ho 0.986 0.486 0.188
Pb 0.250 0.250 0.000
Pb 0.750 0.750 0.000
Au 0.137 0.363 0.500
Au 0.363 0.863 0.227
Au 0.637 0.137 0.773
Au 0.863 0.637 0.500
! total moment = 0.00 μB/f.u.
! calculated volume = 26.726 Å³ per atom
! space-group type = I4/mcm (140)
! E_form = -14.27 kcal/mol of atoms

---

4.
! PBE Ho3PbAu2, relaxed; values from VASP
&SYSTEM
  ibrav = 0, nat = 6, ntyp = 3
/
ATOMIC_SPECIES
Ho 164.93 Ho.upf
Pb 207.20 Pb.upf
Au 196.97 Au.upf
CELL_PARAMETERS angstrom
3.517 0.000 0.000
0.000 3.517 0.000
0.000 0.000 11.976
ATOMIC_POSITIONS crystal
Ho 0.000 0.000 0.000
Ho 0.000 0.000 0.306
Ho 0.000 0.000 0.694
Pb 0.500 0.500 0.500
Au 0.500 0.500 0.153
Au 0.500 0.500 0.847
! total moment = 0.00 μB/f.u.
! calculated volume = 24.688 Å³ per atom
! space-group type = P4/mmm (123)
! E_form = -16.45 kcal/mol of atoms

---

5.
! PBE HoPbAu, relaxed; values from VASP
&SYSTEM
  ibrav = 0, nat = 3, ntyp = 3
/
ATOMIC_SPECIES
Ho 164.93 Ho.upf
Pb 207.20 Pb.upf
Au 196.97 Au.upf
CELL_PARAMETERS angstrom
4.844 0.000 0.000
-2.422 4.195 0.000
0.000 0.000 3.618
ATOMIC_POSITIONS crystal
Ho 0.000 0.000 0.000
Pb 0.667 0.333 0.444
Au 0.333 0.667 0.608
! total moment = 0.00 μB/f.u.
! calculated volume = 24.505 Å³ per atom
! space-group type = P3m1 (156)
! E_form = -11.51 kcal/mol of atoms

---

6.
! PBE Ho5Pb4Au, relaxed; values from VASP
&SYSTEM
  ibrav = 0, nat = 10, ntyp = 3
/
ATOMIC_SPECIES
Ho 164.93 Ho.upf
Pb 207.20 Pb.upf
Au 196.97 Au.upf
CELL_PARAMETERS angstrom
-4.865 4.865 3.118
4.865 -4.865 3.118
4.865 4.865 -3.118
ATOMIC_POSITIONS crystal
Ho 0.000 0.000 0.000
Ho 0.082 0.469 0.803
Ho 0.279 0.082 0.612
Ho 0.469 0.667 0.388
Ho 0.667 0.279 0.197
Pb 0.164 0.776 0.199
Pb 0.577 0.965 0.801
Pb 0.776 0.577 0.612
Pb 0.965 0.164 0.388
Au 0.490 0.490 0.000
! total moment = 0.00 μB/f.u.
! calculated volume = 29.524 Å³ per atom
! space-group type = I4 (79)
! E_form = -8.69 kcal/mol of atoms

---

7.
! PBE HoPbAu, relaxed; values from VASP
&SYSTEM
  ibrav = 0, nat = 6, ntyp = 3
/
ATOMIC_SPECIES
Ho 164.93 Ho.upf
Pb 207.20 Pb.upf
Au 196.97 Au.upf
CELL_PARAMETERS angstrom
3.587 0.000 0.000
0.000 3.587 0.000
0.000 0.000 11.874
ATOMIC_POSITIONS crystal
Ho 0.000 0.000 0.000
Ho 0.500 0.500 0.500
Pb 0.000 0.000 0.701
Pb 0.500 0.500 0.201
Au 0.000 0.000 0.373
Au 0.500 0.500 0.873
! total moment = 0.00 μB/f.u.
! calculated volume = 25.456 Å³ per atom
! space-group type = I4mm (107)
! E_form = -11.83 kcal/mol of atoms

---

8.
! PBE HoPdPbAu, relaxed; values from VASP
&SYSTEM
  ibrav = 0, nat = 16, ntyp = 4
/
ATOMIC_SPECIES
Ho 164.93 Ho.upf
Pd 106.42 Pd.upf
Pb 207.20 Pb.upf
Au 196.97 Au.upf
CELL_PARAMETERS angstrom
7.023 0.000 0.000
0.000 7.023 0.000
0.000 0.000 7.023
ATOMIC_POSITIONS crystal
Ho 0.000 0.000 0.000
Ho 0.000 0.500 0.500
Ho 0.500 0.000 0.500
Ho 0.500 0.500 0.000
Pd 0.250 0.250 0.750
Pd 0.250 0.750 0.250
Pd 0.750 0.250 0.250
Pd 0.750 0.750 0.750
Pb 0.000 0.000 0.500
Pb 0.000 0.500 0.000
Pb 0.500 0.000 0.000
Pb 0.500 0.500 0.500
Au 0.250 0.250 0.250
Au 0.250 0.750 0.750
Au 0.750 0.250 0.750
Au 0.750 0.750 0.250
! total moment = 0.00 μB/f.u.
! calculated volume = 21.653 Å³ per atom
! space-group type = F-43m (216)
! E_form = -14.35 kcal/mol of atoms

---

9.
! PBE HoPtPbAu, relaxed; values from VASP
&SYSTEM
  ibrav = 0, nat = 16, ntyp = 4
/
ATOMIC_SPECIES
Ho 164.93 Ho.upf
Pt 195.08 Pt.upf
Pb 207.20 Pb.upf
Au 196.97 Au.upf
CELL_PARAMETERS angstrom
7.029 0.000 0.000
0.000 7.029 0.000
0.000 0.000 7.029
ATOMIC_POSITIONS crystal
Ho 0.000 0.000 0.000
Ho 0.000 0.500 0.500
Ho 0.500 0.000 0.500
Ho 0.500 0.500 0.000
Pt 0.250 0.250 0.250
Pt 0.250 0.750 0.750
Pt 0.750 0.250 0.750
Pt 0.750 0.750 0.250
Pb 0.000 0.000 0.500
Pb 0.000 0.500 0.000
Pb 0.500 0.000 0.000
Pb 0.500 0.500 0.500
Au 0.250 0.250 0.750
Au 0.250 0.750 0.250
Au 0.750 0.250 0.250
Au 0.750 0.750 0.750
! total moment = 0.00 μB/f.u.
! calculated volume = 21.705 Å³ per atom
! space-group type = F-43m (216)
! E_form = -15.38 kcal/mol of atoms

---

10.
! PBE HoRhPbAu, relaxed; values from VASP
&SYSTEM
  ibrav = 0, nat = 16, ntyp = 4
/
ATOMIC_SPECIES
Ho 164.93 Ho.upf
Rh 102.91 Rh.upf
Pb 207.20 Pb.upf
Au 196.97 Au.upf
CELL_PARAMETERS angstrom
6.945 0.000 0.000
0.000 6.945 0.000
0.000 0.000 6.945
ATOMIC_POSITIONS crystal
Ho 0.000 0.000 0.000
Ho 0.000 0.500 0.500
Ho 0.500 0.000 0.500
Ho 0.500 0.500 0.000
Rh 0.250 0.250 0.250
Rh 0.250 0.750 0.750
Rh 0.750 0.250 0.750
Rh 0.750 0.750 0.250
Pb 0.000 0.000 0.500
Pb 0.000 0.500 0.000
Pb 0.500 0.000 0.000
Pb 0.500 0.500 0.500
Au 0.250 0.250 0.750
Au 0.250 0.750 0.250
Au 0.750 0.250 0.250
Au 0.750 0.750 0.750
! total moment = 0.00 μB/f.u.
! calculated volume = 20.939 Å³ per atom
! space-group type = F-43m (216)
! E_form = -10.87 kcal/mol of atoms

---

11.
! PBE HoScPbAu, relaxed; values from VASP
&SYSTEM
  ibrav = 0, nat = 16, ntyp = 4
/
ATOMIC_SPECIES
Ho 164.93 Ho.upf
Sc 44.96 Sc.upf
Pb 207.20 Pb.upf
Au 196.97 Au.upf
CELL_PARAMETERS angstrom
7.241 0.000 0.000
0.000 7.241 0.000
0.000 0.000 7.241
ATOMIC_POSITIONS crystal
Ho 0.000 0.000 0.000
Ho 0.000 0.500 0.500
Ho 0.500 0.000 0.500
Ho 0.500 0.500 0.000
Sc 0.000 0.000 0.500
Sc 0.000 0.500 0.000
Sc 0.500 0.000 0.000
Sc 0.500 0.500 0.500
Pb 0.250 0.250 0.750
Pb 0.250 0.750 0.250
Pb 0.750 0.250 0.250
Pb 0.750 0.750 0.750
Au 0.250 0.250 0.250
Au 0.250 0.750 0.750
Au 0.750 0.250 0.750
Au 0.750 0.750 0.250
! total moment = 0.77 μB/f.u.
! calculated volume = 23.729 Å³ per atom
! space-group type = F-43m (216)
! E_form = -12.93 kcal/mol of atoms

---

12.
! PBE TbHoPbAu, relaxed; values from VASP
&SYSTEM
  ibrav = 0, nat = 16, ntyp = 4
/
ATOMIC_SPECIES
Tb 158.93 Tb.upf
Ho 164.93 Ho.upf
Pb 207.20 Pb.upf
Au 196.97 Au.upf
CELL_PARAMETERS angstrom
7.437 0.000 0.000
0.000 7.437 0.000
0.000 0.000 7.437
ATOMIC_POSITIONS crystal
Tb 0.000 0.000 0.000
Tb 0.000 0.500 0.500
Tb 0.500 0.000 0.500
Tb 0.500 0.500 0.000
Ho 0.000 0.000 0.500
Ho 0.000 0.500 0.000
Ho 0.500 0.000 0.000
Ho 0.500 0.500 0.500
Pb 0.250 0.250 0.250
Pb 0.250 0.750 0.750
Pb 0.750 0.250 0.750
Pb 0.750 0.750 0.250
Au 0.250 0.250 0.750
Au 0.250 0.750 0.250
Au 0.750 0.250 0.250
Au 0.750 0.750 0.750
! total moment = 0.67 μB/f.u.
! calculated volume = 25.707 Å³ per atom
! space-group type = F-43m (216)
! E_form = -13.91 kcal/mol of atoms

---

13.
! PBE Ho6Te3PbAu2, relaxed; values from VASP
&SYSTEM
  ibrav = 0, nat = 12, ntyp = 4
/
ATOMIC_SPECIES
Ho 164.93 Ho.upf
Te 127.60 Te.upf
Pb 207.20 Pb.upf
Au 196.97 Au.upf
CELL_PARAMETERS angstrom
9.640 -2.086 0.000
9.640 2.086 0.000
-2.768 0.000 8.464
ATOMIC_POSITIONS crystal
Ho 0.011 0.011 0.257
Ho 0.330 0.330 0.878
Ho 0.332 0.332 0.413
Ho 0.668 0.668 0.587
Ho 0.670 0.670 0.122
Ho 0.989 0.989 0.743
Te 0.161 0.161 0.849
Te 0.500 0.500 0.500
Te 0.839 0.839 0.151
Pb 0.500 0.500 0.000
Au 0.175 0.175 0.360
Au 0.825 0.825 0.640
! total moment = 0.00 μB/f.u.
! calculated volume = 28.365 Å³ per atom
! E_form (uncorrected) = -11.8 eV/f.u.
! space-group type = C2/m (12)

---

14.
! PBE HoThPbAu, relaxed; values from VASP
&SYSTEM
  ibrav = 0, nat = 16, ntyp = 4
/
ATOMIC_SPECIES
Ho 164.93 Ho.upf
Th 232.04 Th.upf
Pb 207.20 Pb.upf
Au 196.97 Au.upf
CELL_PARAMETERS angstrom
7.553 0.000 0.000
0.000 7.553 0.000
0.000 0.000 7.553
ATOMIC_POSITIONS crystal
Ho 0.000 0.000 0.000
Ho 0.000 0.500 0.500
Ho 0.500 0.000 0.500
Ho 0.500 0.500 0.000
Th 0.000 0.000 0.500
Th 0.000 0.500 0.000
Th 0.500 0.000 0.000
Th 0.500 0.500 0.500
Pb 0.250 0.250 0.250
Pb 0.250 0.750 0.750
Pb 0.750 0.250 0.750
Pb 0.750 0.750 0.250
Au 0.250 0.250 0.750
Au 0.250 0.750 0.250
Au 0.750 0.250 0.250
Au 0.750 0.750 0.750
! total moment = 0.01 μB/f.u.
! calculated volume = 26.930 Å³ per atom
! space-group type = F-43m (216)
! E_form = -10.12 kcal/mol of atoms

---

15.
! PBE HoTmPbAu, relaxed; values from VASP
&SYSTEM
  ibrav = 0, nat = 16, ntyp = 4
/
ATOMIC_SPECIES
Ho 164.93 Ho.upf
Tm 168.93 Tm.upf
Pb 207.20 Pb.upf
Au 196.97 Au.upf
CELL_PARAMETERS angstrom
7.380 0.000 0.000
0.000 7.380 0.000
0.000 0.000 7.380
ATOMIC_POSITIONS crystal
Ho 0.000 0.000 0.000
Ho 0.000 0.500 0.500
Ho 0.500 0.000 0.500
Ho 0.500 0.500 0.000
Tm 0.000 0.000 0.500
Tm 0.000 0.500 0.000
Tm 0.500 0.000 0.000
Tm 0.500 0.500 0.500
Pb 0.250 0.250 0.750
Pb 0.250 0.750 0.250
Pb 0.750 0.250 0.250
Pb 0.750 0.750 0.750
Au 0.250 0.250 0.250
Au 0.250 0.750 0.750
Au 0.750 0.250 0.750
Au 0.750 0.750 0.250
! total moment = 0.57 μB/f.u.
! calculated volume = 25.122 Å³ per atom
! space-group type = F-43m (216)
! E_form = -13.47 kcal/mol of atoms

---

16.
! PBE YHoPbAu, relaxed; values from VASP
&SYSTEM
  ibrav = 0, nat = 16, ntyp = 4
/
ATOMIC_SPECIES
Y 88.91 Y.upf
Ho 164.93 Ho.upf
Pb 207.20 Pb.upf
Au 196.97 Au.upf
CELL_PARAMETERS angstrom
7.428 0.000 0.000
0.000 7.428 0.000
0.000 0.000 7.428
ATOMIC_POSITIONS crystal
Y 0.000 0.000 0.000
Y 0.000 0.500 0.500
Y 0.500 0.000 0.500
Y 0.500 0.500 0.000
Ho 0.000 0.000 0.500
Ho 0.000 0.500 0.000
Ho 0.500 0.000 0.000
Ho 0.500 0.500 0.500
Pb 0.250 0.250 0.750
Pb 0.250 0.750 0.250
Pb 0.750 0.250 0.250
Pb 0.750 0.750 0.750
Au 0.250 0.250 0.250
Au 0.250 0.750 0.750
Au 0.750 0.250 0.750
Au 0.750 0.750 0.250
! total moment = 0.65 μB/f.u.
! calculated volume = 25.613 Å³ per atom
! space-group type = F-43m (216)
! E_form = -14.14 kcal/mol of atoms

---

17.
! PBE Ho2PdAu6, relaxed; values from VASP
&SYSTEM
  ibrav = 0, nat = 9, ntyp = 3
/
ATOMIC_SPECIES
Ho 164.93 Ho.upf
Pd 106.42 Pd.upf
Au 196.97 Au.upf
CELL_PARAMETERS angstrom
6.744 -1.996 0.000
6.744 1.996 0.000
-2.750 0.000 6.526
ATOMIC_POSITIONS crystal
Ho 0.061 0.061 0.318
Ho 0.939 0.939 0.682
Pd 0.500 0.500 0.000
Au 0.164 0.164 0.002
Au 0.273 0.273 0.675
Au 0.395 0.395 0.328
Au 0.605 0.605 0.672
Au 0.727 0.727 0.325
Au 0.836 0.836 0.998
! total moment = 0.00 μB/f.u.
! calculated volume = 19.520 Å³ per atom
! space-group type = C2/m (12)
! E_form = -14.20 kcal/mol of atoms

---

18.
! PBE HoPd4Au5, relaxed; values from VASP
&SYSTEM
  ibrav = 0, nat = 10, ntyp = 3
/
ATOMIC_SPECIES
Ho 164.93 Ho.upf
Pd 106.42 Pd.upf
Au 196.97 Au.upf
CELL_PARAMETERS angstrom
6.651 -2.368 0.000
6.651 2.368 0.000
-1.217 0.000 5.613
ATOMIC_POSITIONS crystal
Ho 0.000 0.000 0.000
Pd 0.205 0.205 0.317
Pd 0.396 0.396 0.134
Pd 0.604 0.604 0.866
Pd 0.795 0.795 0.683
Au 0.000 0.000 0.500
Au 0.206 0.206 0.815
Au 0.402 0.402 0.634
Au 0.598 0.598 0.366
Au 0.794 0.794 0.185
! total moment = 0.00 μB/f.u.
! E above lowest polymorph = 0 meV per atom
! calculated volume = 17.679 Å³ per atom
! space-group type = C2/m (12)
! E_form = -8.43 kcal/mol of atoms

---

19.
! PBE Ho2PdAu2, relaxed; values from VASP
&SYSTEM
  ibrav = 0, nat = 10, ntyp = 3
/
ATOMIC_SPECIES
Ho 164.93 Ho.upf
Pd 106.42 Pd.upf
Au 196.97 Au.upf
CELL_PARAMETERS angstrom
-3.131 6.432 2.953
3.131 -6.432 2.953
3.131 6.432 -2.953
ATOMIC_POSITIONS crystal
Ho 0.149 0.241 0.390
Ho 0.351 0.741 0.092
Ho 0.649 0.259 0.908
Ho 0.851 0.759 0.610
Pd 0.250 0.750 0.500
Pd 0.750 0.250 0.500
Au 0.124 0.780 0.904
Au 0.376 0.280 0.656
Au 0.624 0.720 0.344
Au 0.876 0.220 0.096
! total moment = 0.00 μB/f.u.
! calculated volume = 23.786 Å³ per atom
! space-group type = Ibam (72)
! E_form = -17.54 kcal/mol of atoms

---

20.
! PBE Ho6Pd2Au, relaxed; values from VASP
&SYSTEM
  ibrav = 0, nat = 18, ntyp = 3
/
ATOMIC_SPECIES
Ho 164.93 Ho.upf
Pd 106.42 Pd.upf
Au 196.97 Au.upf
CELL_PARAMETERS angstrom
-4.717 4.801 5.047
4.717 -4.801 5.047
4.717 4.801 -5.047
ATOMIC_POSITIONS crystal
Ho 0.055 0.244 0.811
Ho 0.178 0.279 0.458
Ho 0.178 0.721 0.899
Ho 0.330 0.033 0.702
Ho 0.330 0.628 0.298
Ho 0.433 0.244 0.189
Ho 0.567 0.756 0.811
Ho 0.670 0.372 0.702
Ho 0.670 0.967 0.298
Ho 0.822 0.279 0.101
Ho 0.822 0.721 0.542
Ho 0.945 0.756 0.189
Pd 0.134 0.634 0.500
Pd 0.343 0.000 0.343
Pd 0.657 0.000 0.657
Pd 0.866 0.366 0.500
Au 0.000 0.000 0.000
Au 0.500 0.500 0.000
! total moment = 0.00 μB/f.u.
! calculated volume = 25.394 Å³ per atom
! space-group type = Immm (71)
! E_form = -13.94 kcal/mol of atoms